The following is a PBE calculation of a relaxed CoCuHg2Pt crystal, from the Alexandria database.

Calculated values
DFT formation energy (eV per atom): 0.9738

Geometry as CIF:
```
data_CoCuHg2Pt
_space_group_name_H-M_alt 'P 4/m m m'
_space_group_IT_number 123
_space_group_name_Hall '-P 4 2'
_cell_length_a 5.1981
_cell_length_b 5.1981
_cell_length_c 4.7640
_cell_angle_alpha 90.00
_cell_angle_beta 90.00
_cell_angle_gamma 90.00
loop_
_atom_site_label
_atom_site_type_symbol
_atom_site_fract_x
_atom_site_fract_y
_atom_site_fract_z
Co1 Co 0.0000 0.0000 0.0000
Cu1 Cu 0.5000 0.5000 0.0000
Hg1 Hg 0.0000 0.5000 0.5000
Pt1 Pt 0.5000 0.5000 0.5000
```